A plane-wave DFT calculation with PBE was carried out for crystalline La2Cd6In at its relaxed geometry.

POSCAR file:
```
La2Cd6In
1.0
6.3769 -0.2406 0.3776
0.0386 5.6572 3.1929
-0.3664 0.0896 6.4852
Cd La In
6 2 1
direct
0.3348 0.8199 0.3600 Cd
0.6652 0.1801 0.6400 Cd
0.3350 0.8194 0.8194 Cd
0.6652 0.6400 0.1801 Cd
0.3348 0.3600 0.8199 Cd
0.6650 0.1806 0.1806 Cd
0.1550 0.3334 0.3334 La
0.8450 0.6666 0.6666 La
0.0000 0.0000 0.0000 In
```

Values from the calculation:
* DFT formation energy: -2.652 eV/f.u.
* Fermi-level density of states: 0.84 states/eV/atom
* volume: 233.3 Å³ per cell
* SG: C2/m, No. 12

---

A plane-wave DFT calculation with PBE was carried out for crystalline Y2PuOs2 at its relaxed geometry.

POSCAR file:
```
Y2PuOs2
1.0
-3.2653 2.6180 0.7791
-5.0375 -2.9114 0.3013
-2.4943 -1.1770 5.1321
Os Y Pu
2 2 1
direct
0.0000 0.7700 0.7301 Os
0.0000 0.2300 0.2699 Os
0.3021 0.1979 0.6979 Y
0.6979 0.8021 0.3021 Y
0.5000 0.5000 0.0000 Pu
```

Values from the calculation:
* DFT formation energy: -1.316 eV/f.u.
* Fermi-level density of states: 1.13 states/eV/atom
* volume: 112.3 Å³ per cell
* SG: Immm, No. 71

---

A plane-wave DFT calculation with PBE was carried out for crystalline Cs2U2PtS6 at its relaxed geometry.

POSCAR file:
```
Cs2U2PtS6
1.0
7.2124 -0.4969 0.1296
-3.9967 6.0242 0.1296
-1.0547 -1.8129 8.1645
S U Cs Pt
6 2 2 1
direct
0.5566 0.9614 0.3122 S
0.9614 0.5566 0.3122 S
0.7353 0.7353 0.6533 S
0.0386 0.4434 0.6878 S
0.2647 0.2647 0.3467 S
0.4434 0.0386 0.6878 S
0.3414 0.6586 0.5000 U
0.6586 0.3414 0.5000 U
0.8562 0.1438 0.0000 Cs
0.1438 0.8562 0.0000 Cs
0.0000 0.0000 0.5000 Pt
```

Values from the calculation:
* E_form (uncorrected): -1104.1 meV/atom
* Fermi-level density of states: 0.93 states/eV/atom
* volume: 342.0 Å³ per cell
* SG: C2/m, No. 12

---

A plane-wave DFT calculation with PBE was carried out for crystalline Sr2TaMo at its relaxed geometry.

POSCAR file:
```
Sr2TaMo
1.0
9.8255 0.2959 0.0330
9.1547 3.5804 0.0330
0.8234 0.1682 3.9919
Sr Ta Mo
2 1 1
direct
0.5955 0.5955 0.4037 Sr
0.9045 0.9045 0.0963 Sr
0.7500 0.7500 0.7500 Ta
0.2500 0.2500 0.2500 Mo
```

Values from the calculation:
* DFT formation energy: 2.748 eV/f.u.
* Fermi-level density of states: 1.35 states/eV/atom
* volume: 129.5 Å³ per cell
* SG: C2/m, No. 12

---

A plane-wave DFT calculation with PBE was carried out for crystalline BaCa2Be at its relaxed geometry.

POSCAR file:
```
BaCa2Be
1.0
-0.8829 8.6892 0.3759
-0.5747 6.2756 6.0568
3.6294 -6.8437 -4.0471
Ca Be Ba
2 1 1
direct
0.7453 0.2454 0.5001 Ca
0.0939 0.0934 0.9995 Ca
0.2436 0.7434 0.5003 Be
0.4172 0.4177 0.0001 Ba
```

Values from the calculation:
* DFT formation energy: 1.369 eV/f.u.
* Fermi-level density of states: 1.25 states/eV/atom
* volume: 149.5 Å³ per cell
* SG: C2, No. 5

---

A plane-wave DFT calculation with PBE was carried out for crystalline Mg2Zn at its relaxed geometry.

POSCAR file:
```
Mg2Zn
1.0
3.1015 0.0000 0.0000
-1.5508 2.6860 0.0000
0.0000 0.0000 14.4625
Mg Zn
4 2
direct
0.6667 0.3333 0.5922 Mg
0.6667 0.3333 0.9078 Mg
0.3333 0.6667 0.4078 Mg
0.3333 0.6667 0.0922 Mg
0.6667 0.3333 0.2500 Zn
0.3333 0.6667 0.7500 Zn
```

Values from the calculation:
* DFT formation energy: 0.006 eV/f.u.
* Fermi-level density of states: 0.42 states/eV/atom
* volume: 120.5 Å³ per cell
* SG: P6_3/mmc, No. 194

---

A plane-wave DFT calculation with PBE was carried out for crystalline CeYTm2 at its relaxed geometry.

POSCAR file:
```
CeYTm2
1.0
-2.1928 5.0586 -1.0725
-3.4204 2.4276 3.7357
1.7380 4.4862 2.8985
Ce Tm Y
1 2 1
direct
0.0000 0.0000 0.0000 Ce
0.7500 0.7500 0.7500 Tm
0.2500 0.2500 0.2500 Tm
0.5000 0.5000 0.5000 Y
```

Values from the calculation:
* DFT formation energy: 0.580 eV/f.u.
* Fermi-level density of states: 2.13 states/eV/atom
* volume: 125.3 Å³ per cell
* SG: Fm-3m, No. 225

---

A plane-wave DFT calculation with PBE was carried out for crystalline Pm4Dy2Cd at its relaxed geometry.

POSCAR file:
```
Pm4Dy2Cd
1.0
3.5777 0.0000 -0.4721
0.0000 3.5819 0.0000
0.4924 0.0000 17.5240
Pm Cd Dy
4 1 2
direct
0.3630 0.0000 0.7260 Pm
0.9384 0.5000 0.8767 Pm
0.6370 0.0000 0.2740 Pm
0.0616 0.5000 0.1233 Pm
0.5000 0.0000 0.0000 Cd
0.2073 0.5000 0.4146 Dy
0.7927 0.5000 0.5854 Dy
```

Values from the calculation:
* DFT formation energy: -0.076 eV/f.u.
* Fermi-level density of states: 1.26 states/eV/atom
* volume: 225.4 Å³ per cell
* SG: Cmmm, No. 65

---

A plane-wave DFT calculation with PBE was carried out for crystalline ZnAgF6 at its relaxed geometry.

POSCAR file:
```
ZnAgF6
1.0
-3.0031 -2.1717 -3.4874
2.1011 -2.8334 3.6680
-7.5794 1.5663 5.5516
F Zn Ag
12 2 2
direct
0.9744 0.3126 0.6253 F
0.0256 0.3382 0.1253 F
0.0256 0.6874 0.3747 F
0.3382 0.0256 0.6253 F
0.6618 0.9744 0.3747 F
0.6874 0.0256 0.8747 F
0.6618 0.6874 0.1253 F
0.3382 0.3126 0.8747 F
0.3126 0.9744 0.1253 F
0.9744 0.6618 0.8747 F
0.6874 0.6618 0.6253 F
0.3126 0.3382 0.3747 F
0.6667 0.3333 0.7500 Zn
0.3333 0.6667 0.2500 Zn
0.0000 0.0000 0.0000 Ag
0.0000 0.0000 0.5000 Ag
```

Values from the calculation:
* E_form (uncorrected): -1352.8 meV/atom
* Fermi-level density of states: 0.38 states/eV/atom
* volume: 213.6 Å³ per cell
* SG: P-31c, No. 163

---

A plane-wave DFT calculation with PBE was carried out for crystalline RbTaSi2S8 at its relaxed geometry.

POSCAR file:
```
RbTaSi2S8
1.0
6.1465 0.0000 0.0000
-3.0733 5.3231 0.0000
0.0000 0.0000 8.9416
S Si Ta Rb
8 2 1 1
direct
0.6694 0.9979 0.3451 S
0.6715 0.6694 0.6549 S
0.9979 0.3285 0.6549 S
0.0021 0.6715 0.3451 S
0.3333 0.6667 0.9554 S
0.3285 0.3306 0.3451 S
0.6667 0.3333 0.0446 S
0.3306 0.0021 0.6549 S
0.3333 0.6667 0.7195 Si
0.6667 0.3333 0.2805 Si
0.0000 0.0000 0.5000 Ta
0.0000 0.0000 0.0000 Rb
```

Values from the calculation:
* E_form (uncorrected): -551.9 meV/atom
* Fermi-level density of states: 0.76 states/eV/atom
* volume: 292.6 Å³ per cell
* SG: P-3, No. 147

---

A plane-wave DFT calculation with PBE was carried out for crystalline ErGa2Au3 at its relaxed geometry.

POSCAR file:
```
ErGa2Au3
1.0
4.4723 0.0000 0.0000
-2.2361 8.9317 0.4012
0.0000 -3.6760 5.6219
Au Ga Er
6 4 2
direct
0.0639 0.1279 0.4284 Au
0.9361 0.8721 0.5716 Au
0.6895 0.3790 0.4402 Au
0.3612 0.7224 0.2129 Au
0.3105 0.6210 0.5598 Au
0.6388 0.2776 0.7871 Au
0.4901 0.9803 0.7909 Ga
0.5099 0.0197 0.2091 Ga
0.2271 0.4541 0.7835 Ga
0.7729 0.5459 0.2165 Ga
0.8785 0.7569 0.9309 Er
0.1215 0.2431 0.0691 Er
```

Values from the calculation:
* DFT formation energy: -3.165 eV/f.u.
* Fermi-level density of states: 0.35 states/eV/atom
* volume: 231.2 Å³ per cell
* SG: C2/m, No. 12

---

A plane-wave DFT calculation with PBE was carried out for crystalline Ac3SnPb3 at its relaxed geometry.

POSCAR file:
```
Ac3SnPb3
1.0
-2.9300 3.4697 -1.9294
-6.4642 -0.9379 1.8207
-0.7117 10.0577 12.8588
Ac Sn Pb
6 2 6
direct
0.3951 0.2846 0.9252 Ac
0.5200 0.3370 0.6230 Ac
0.4800 0.6630 0.3770 Ac
0.2734 0.2279 0.2253 Ac
0.7266 0.7721 0.7747 Ac
0.6049 0.7154 0.0748 Ac
0.7715 0.0874 0.3696 Sn
0.2285 0.9126 0.6304 Sn
0.1345 0.2691 0.4620 Pb
0.1233 0.8302 0.9232 Pb
0.8767 0.1698 0.0768 Pb
0.8655 0.7309 0.5380 Pb
0.0023 0.7728 0.2227 Pb
0.9977 0.2272 0.7773 Pb
```

Values from the calculation:
* DFT formation energy: -3.511 eV/f.u.
* Fermi-level density of states: 0.73 states/eV/atom
* volume: 499.6 Å³ per cell
* SG: C2/m, No. 12

---

A plane-wave DFT calculation with PBE was carried out for crystalline BeGeS2 at its relaxed geometry.

POSCAR file:
```
BeGeS2
1.0
-0.4454 -2.7504 3.4727
-3.6724 -2.4824 0.4171
0.2100 -4.4055 -0.6082
Ge Be S
1 1 2
direct
0.5000 0.5000 0.5000 Ge
0.0000 0.0000 0.0000 Be
0.7500 0.7500 0.7500 S
0.2500 0.2500 0.2500 S
```

Values from the calculation:
* E_form (uncorrected): 355.5 meV/atom
* Fermi-level density of states: 0.24 states/eV/atom
* volume: 62.4 Å³ per cell
* SG: Fm-3m, No. 225

---

A plane-wave DFT calculation with PBE was carried out for crystalline Mg4Ir3 at its relaxed geometry.

POSCAR file:
```
Mg4Ir3
1.0
-1.5599 1.5599 12.0045
1.5599 -1.5599 12.0045
1.5599 1.5599 -12.0045
Mg Ir
4 3
direct
0.8491 0.8491 0.0000 Mg
0.1509 0.1509 0.0000 Mg
0.5611 0.5611 0.0000 Mg
0.4389 0.4389 0.0000 Mg
0.2847 0.2847 0.0000 Ir
0.0000 0.0000 0.0000 Ir
0.7153 0.7153 0.0000 Ir
```

Values from the calculation:
* DFT formation energy: -1.071 eV/f.u.
* Fermi-level density of states: 0.98 states/eV/atom
* volume: 116.8 Å³ per cell
* SG: I4/mmm, No. 139

---

A plane-wave DFT calculation with PBE was carried out for crystalline H2Pd2Rh at its relaxed geometry.

POSCAR file:
```
H2Pd2Rh
1.0
-1.9394 -2.2004 4.6246
4.4796 0.3751 2.0571
-2.1595 4.4221 -2.0440
Pd H Rh
4 4 2
direct
0.6718 0.1103 0.3436 Pd
0.8282 0.7667 0.6564 Pd
0.1718 0.2333 0.3436 Pd
0.3282 0.8897 0.6564 Pd
0.9149 0.2049 0.8297 H
0.0851 0.7951 0.1703 H
0.5851 0.3752 0.1703 H
0.4149 0.6248 0.8297 H
0.7500 0.5000 0.0000 Rh
0.2500 0.5000 0.0000 Rh
```

Values from the calculation:
* Fermi-level density of states: 1.30 states/eV/atom
* calculated total energy: -4.833 eV per atom
* volume: 104.1 Å³ per cell
* SG: Ibam, No. 72

---

A plane-wave DFT calculation with PBE was carried out for crystalline ZnGeRuSeO at its relaxed geometry.

POSCAR file:
```
ZnGeRuSeO
1.0
3.8889 0.0000 0.0000
0.0000 3.0288 0.0000
0.0000 0.0000 7.5665
Zn Ge O Se Ru
1 1 1 1 1
direct
0.5000 0.5000 0.8956 Zn
0.5000 0.0000 0.4899 Ge
0.5000 0.0000 0.7354 O
0.0000 0.5000 0.0953 Se
0.0000 0.5000 0.4101 Ru
```

Values from the calculation:
* E_form (uncorrected): -498.9 meV/atom
* Fermi-level density of states: 0.40 states/eV/atom
* volume: 89.1 Å³ per cell
* SG: Pmm2, No. 25

---

A plane-wave DFT calculation with PBE was carried out for crystalline Y2ZnGa2Rh5 at its relaxed geometry.

POSCAR file:
```
Y2ZnGa2Rh5
1.0
3.4989 0.0000 0.0000
0.0000 9.8176 0.0000
0.0000 0.0000 9.8176
Zn Rh Y Ga
2 10 4 4
direct
0.0000 0.5000 0.5000 Zn
0.0000 0.0000 0.0000 Zn
0.5000 0.2987 0.5657 Rh
0.5000 0.7013 0.4343 Rh
0.5000 0.7987 0.9343 Rh
0.5000 0.5657 0.7013 Rh
0.5000 0.5000 0.0000 Rh
0.5000 0.9343 0.2013 Rh
0.5000 0.4343 0.2987 Rh
0.5000 0.0000 0.5000 Rh
0.5000 0.0657 0.7987 Rh
0.5000 0.2013 0.0657 Rh
0.0000 0.8266 0.6734 Y
0.0000 0.6734 0.1734 Y
0.0000 0.1734 0.3266 Y
0.0000 0.3266 0.8266 Y
0.0000 0.1263 0.6263 Ga
0.0000 0.3737 0.1263 Ga
0.0000 0.8737 0.3737 Ga
0.0000 0.6263 0.8737 Ga
```

Values from the calculation:
* DFT formation energy: -7.178 eV/f.u.
* Fermi-level density of states: 0.48 states/eV/atom
* volume: 337.2 Å³ per cell
* SG: P4/mbm, No. 127

---

A plane-wave DFT calculation with PBE was carried out for crystalline BaHoMgAl at its relaxed geometry.

POSCAR file:
```
BaHoMgAl
1.0
5.5635 0.0000 0.0000
2.7818 4.8182 0.0000
2.7818 1.6061 4.5426
Mg Al Ba Ho
1 1 1 1
direct
0.0000 0.0000 0.0000 Mg
0.5000 0.5000 0.5000 Al
0.7500 0.7500 0.7500 Ba
0.2500 0.2500 0.2500 Ho
```

Values from the calculation:
* DFT formation energy: -0.039 eV/f.u.
* Fermi-level density of states: 1.01 states/eV/atom
* volume: 121.8 Å³ per cell
* SG: F-43m, No. 216

---

A plane-wave DFT calculation with PBE was carried out for crystalline Mn2CoMo at its relaxed geometry.

POSCAR file:
```
Mn2CoMo
1.0
-3.5931 -2.2680 -1.2246
-1.8331 -2.5853 -3.0839
1.0871 -4.0092 1.7132
Mo Mn Co
1 2 1
direct
0.7500 0.7500 0.7500 Mo
0.5104 0.5104 0.4719 Mn
0.9896 0.9896 0.0281 Mn
0.2500 0.2500 0.2500 Co
```

Values from the calculation:
* DFT formation energy: 0.594 eV/f.u.
* Fermi-level density of states: 1.19 states/eV/atom
* volume: 48.4 Å³ per cell
* SG: C2/m, No. 12

---

A plane-wave DFT calculation with PBE was carried out for crystalline SiNiAu2S at its relaxed geometry.

POSCAR file:
```
SiNiAu2S
1.0
4.8829 0.0000 0.0000
0.0000 4.0767 0.0000
0.0000 0.0000 4.8829
S Au Ni Si
1 2 1 1
direct
0.0000 0.0000 0.0000 S
0.5000 0.0000 0.0000 Au
0.0000 0.0000 0.5000 Au
0.0000 0.5000 0.0000 Ni
0.5000 0.5000 0.5000 Si
```

Values from the calculation:
* E_form (uncorrected): 603.0 meV/atom
* Fermi-level density of states: 0.57 states/eV/atom
* volume: 97.2 Å³ per cell
* SG: P4/mmm, No. 123

---

A plane-wave DFT calculation with PBE was carried out for crystalline GdTmCuHg at its relaxed geometry.

POSCAR file:
```
GdTmCuHg
1.0
5.1067 0.0000 0.0000
2.5533 4.4225 0.0000
2.5533 1.4742 4.1696
Cu Gd Tm Hg
1 1 1 1
direct
0.2500 0.2500 0.2500 Cu
0.0000 0.0000 0.0000 Gd
0.5000 0.5000 0.5000 Tm
0.7500 0.7500 0.7500 Hg
```

Values from the calculation:
* DFT formation energy: -1.313 eV/f.u.
* Fermi-level density of states: 0.86 states/eV/atom
* volume: 94.2 Å³ per cell
* SG: F-43m, No. 216

---

A plane-wave DFT calculation with PBE was carried out for crystalline YAgS2 at its relaxed geometry.

POSCAR file:
```
YAgS2
1.0
1.8588 -11.5934 0.0000
1.8588 11.5934 0.0000
0.0000 0.0000 4.2356
S Y Ag
4 2 2
direct
0.7974 0.2026 0.7500 S
0.2026 0.7974 0.2500 S
0.0890 0.9110 0.7500 S
0.9110 0.0890 0.2500 S
0.6766 0.3234 0.7500 Y
0.3234 0.6766 0.2500 Y
0.9607 0.0393 0.7500 Ag
0.0393 0.9607 0.2500 Ag
```

Values from the calculation:
* E_form (uncorrected): -1255.3 meV/atom
* Fermi-level density of states: 0.10 states/eV/atom
* volume: 182.6 Å³ per cell
* SG: Cmcm, No. 63

---

A plane-wave DFT calculation with PBE was carried out for crystalline La9TmTh2 at its relaxed geometry.

POSCAR file:
```
La9TmTh2
1.0
-2.2766 3.3945 -3.1918
-2.3684 -3.9023 -2.4608
-12.0505 1.1334 9.8008
La Th Tm
9 2 1
direct
0.5000 0.0000 0.8307 La
0.5000 0.5000 0.3335 La
0.5000 0.0000 0.5000 La
0.5000 0.5000 0.0000 La
0.0000 0.5000 0.1693 La
0.0000 0.5000 0.8307 La
0.5000 0.0000 0.1693 La
0.0000 0.5000 0.5000 La
0.5000 0.5000 0.6665 La
0.0000 0.0000 0.6674 Th
0.0000 0.0000 0.3326 Th
0.0000 0.0000 0.0000 Tm
```

Values from the calculation:
* DFT formation energy: 0.462 eV/f.u.
* Fermi-level density of states: 1.69 states/eV/atom
* volume: 418.8 Å³ per cell
* SG: P4/mmm, No. 123

---

A plane-wave DFT calculation with PBE was carried out for crystalline BaMoN2 at its relaxed geometry.

POSCAR file:
```
BaMoN2
1.0
5.5193 0.0001 -2.5050
0.4127 5.4233 0.9099
-0.4073 1.1930 6.4360
N Mo Ba
4 2 2
direct
0.0533 0.7166 0.2517 N
0.3644 0.2029 0.2590 N
0.5591 0.5396 0.6482 N
0.2553 0.0259 0.6556 N
0.2960 0.3712 0.4536 Mo
0.3137 0.8712 0.4536 Mo
0.5931 0.5835 0.0776 Ba
0.9691 0.1589 0.8296 Ba
```

Values from the calculation:
* E_form (uncorrected): -557.0 meV/atom
* Fermi-level density of states: 0.73 states/eV/atom
* volume: 179.9 Å³ per cell
* SG: C2, No. 5

---

A plane-wave DFT calculation with PBE was carried out for crystalline TiNbAlCr at its relaxed geometry.

POSCAR file:
```
TiNbAlCr
1.0
-1.9581 3.9935 -0.0697
-3.9106 0.5241 -2.0543
-3.6873 0.7111 2.3845
Nb Al Cr Ti
1 1 1 1
direct
0.5000 0.5000 0.5000 Nb
0.0000 0.0000 0.0000 Al
0.7500 0.7500 0.7500 Cr
0.2500 0.2500 0.2500 Ti
```

Values from the calculation:
* DFT formation energy: -0.616 eV/f.u.
* Fermi-level density of states: 0.28 states/eV/atom
* volume: 62.2 Å³ per cell
* SG: F-43m, No. 216